# 1
Entry from Alexandria via LeMat-Bulk: a relaxed Sn2BiAs crystal (GGA-PBE).

Space group: Fm-3m, No. 225
Calculated volume, Å³ per cell: 422.0
M_tot, Bohr magnetons per cell: 0.00
Calculated formation energy, kJ per mole of atoms: 18.1

```
Sn2BiAs
1.0
7.5006 0.0000 0.0000
0.0000 7.5006 0.0000
0.0000 0.0000 7.5006
Sn Bi As
8 4 4
direct
0.2500 0.2500 0.2500 Sn
0.2500 0.2500 0.7500 Sn
0.2500 0.7500 0.2500 Sn
0.2500 0.7500 0.7500 Sn
0.7500 0.2500 0.2500 Sn
0.7500 0.2500 0.7500 Sn
0.7500 0.7500 0.2500 Sn
0.7500 0.7500 0.7500 Sn
0.0000 0.0000 0.0000 Bi
0.0000 0.5000 0.5000 Bi
0.5000 0.0000 0.5000 Bi
0.5000 0.5000 0.0000 Bi
0.0000 0.0000 0.5000 As
0.0000 0.5000 0.0000 As
0.5000 0.0000 0.0000 As
0.5000 0.5000 0.5000 As
```



# 2
Entry from Alexandria via LeMat-Bulk: a relaxed Be2SbRh crystal (GGA-PBE).

Space group: I-42d, No. 122
Calculated volume, Å³ per cell: 242.2
M_tot, Bohr magnetons per cell: 0.00

```
Be2SbRh
1.0
6.7936 0.0000 0.0000
0.0000 6.7936 0.0000
0.0000 0.0000 5.2487
Be Sb Rh
8 4 4
direct
0.2065 0.2500 0.1250 Be
0.2500 0.7065 0.3750 Be
0.2500 0.7935 0.8750 Be
0.2935 0.2500 0.6250 Be
0.7065 0.7500 0.6250 Be
0.7500 0.2065 0.8750 Be
0.7500 0.2935 0.3750 Be
0.7935 0.7500 0.1250 Be
0.0000 0.0000 0.5000 Sb
0.0000 0.5000 0.7500 Sb
0.5000 0.0000 0.2500 Sb
0.5000 0.5000 0.0000 Sb
0.0000 0.0000 0.0000 Rh
0.0000 0.5000 0.2500 Rh
0.5000 0.0000 0.7500 Rh
0.5000 0.5000 0.5000 Rh
```



# 3
Entry from Alexandria via LeMat-Bulk: a relaxed CdGaNi4 crystal (GGA-PBE).

Space group: F-43m, No. 216
Calculated volume, Å³ per cell: 79.3
M_tot, Bohr magnetons per cell: 0.68
Calculated formation energy, kJ per mole of atoms: 0.3

```
CdGaNi4
1.0
0.0000 3.4100 3.4100
3.4100 0.0000 3.4100
3.4100 3.4100 0.0000
Cd Ga Ni
1 1 4
direct
0.0000 0.0000 0.0000 Cd
0.7500 0.7500 0.7500 Ga
0.3754 0.3754 0.3754 Ni
0.3754 0.3754 0.8739 Ni
0.3754 0.8739 0.3754 Ni
0.8739 0.3754 0.3754 Ni
```



# 4
Entry from Alexandria via LeMat-Bulk: a relaxed ZnCu6Si crystal (GGA-PBE).

Space group: P-1, No. 2
Calculated volume, Å³ per cell: 100.4
M_tot, Bohr magnetons per cell: 0.00

```
ZnCu6Si
1.0
4.6450 0.0000 0.0000
-0.2253 4.6459 0.0000
-0.2404 -0.2038 4.6510
Zn Cu Si
1 6 1
direct
0.0000 0.0000 0.0000 Zn
0.0387 0.7489 0.4726 Cu
0.2512 0.5276 0.9601 Cu
0.4713 0.0386 0.7483 Cu
0.5287 0.9614 0.2517 Cu
0.7488 0.4724 0.0399 Cu
0.9613 0.2511 0.5274 Cu
0.5000 0.5000 0.5000 Si
```



# 5
Entry from Alexandria via LeMat-Bulk: a relaxed Tl2BSbSe4 crystal (GGA-PBE).

Space group: Pmn2_1, No. 31
Calculated volume, Å³ per cell: 502.0
M_tot, Bohr magnetons per cell: 0.00

```
Tl2BSbSe4
1.0
9.0090 0.0000 0.0000
0.0000 9.0011 0.0000
0.0000 0.0000 6.1907
Tl B Sb Se
4 2 2 8
direct
0.2424 0.1562 0.0000 Tl
0.2576 0.8438 0.5000 Tl
0.7424 0.8438 0.5000 Tl
0.7576 0.1562 0.0000 Tl
0.0000 0.3851 0.5571 B
0.5000 0.6149 0.0571 B
0.0000 0.6632 0.0334 Sb
0.5000 0.3368 0.5334 Sb
0.0000 0.3908 0.8990 Se
0.0000 0.6095 0.4596 Se
0.1844 0.2630 0.4758 Se
0.3156 0.7370 0.9758 Se
0.5000 0.3905 0.9596 Se
0.5000 0.6092 0.3990 Se
0.6844 0.7370 0.9758 Se
0.8156 0.2630 0.4758 Se
```



# 6
Entry from Alexandria via LeMat-Bulk: a relaxed MnReP2 crystal (GGA-PBE).

Space group: Cmmm, No. 65
Calculated volume, Å³ per cell: 107.6
M_tot, Bohr magnetons per cell: 3.19
Calculated formation energy, kJ per mole of atoms: 23.0

```
MnReP2
1.0
2.9172 0.0000 0.0000
0.0000 4.9719 0.0000
0.0000 0.0000 7.4170
Mn Re P
2 2 4
direct
0.0000 0.0000 0.0000 Mn
0.5000 0.5000 0.0000 Mn
0.0000 0.0000 0.5000 Re
0.5000 0.5000 0.5000 Re
0.0000 0.5000 0.2382 P
0.0000 0.5000 0.7618 P
0.5000 0.0000 0.2382 P
0.5000 0.0000 0.7618 P
```



# 7
Entry from Alexandria via LeMat-Bulk: a relaxed Tm2MgIn crystal (GGA-PBE).

Space group: Cm, No. 8
Calculated volume, Å³ per cell: 220.9
M_tot, Bohr magnetons per cell: 0.00
Calculated formation energy, kJ per mole of atoms: -9.3

```
Tm2MgIn
1.0
6.0507 0.0000 0.0000
0.0000 3.4454 0.0000
-2.2386 0.0000 10.5976
Tm Mg In
4 2 2
direct
0.0000 0.0000 0.0000 Tm
0.1627 0.0000 0.5199 Tm
0.5000 0.5000 0.0000 Tm
0.6627 0.5000 0.5199 Tm
0.2530 0.5000 0.2597 Mg
0.7530 0.0000 0.2597 Mg
0.0817 0.5000 0.7599 In
0.5817 0.0000 0.7599 In
```



# 8
Entry from Alexandria via LeMat-Bulk: a relaxed TcIr3 crystal (GGA-PBE).

Space group: Pmmn, No. 59
Calculated volume, Å³ per cell: 115.8
M_tot, Bohr magnetons per cell: 0.00
Calculated formation energy, kJ per mole of atoms: -15.4

```
TcIr3
1.0
4.3843 0.0000 0.0000
0.0000 5.5109 0.0000
0.0000 0.0000 4.7915
Tc Ir
2 6
direct
0.2500 0.2500 0.1690 Tc
0.7500 0.7500 0.8310 Tc
0.2500 0.0015 0.6669 Ir
0.2500 0.4985 0.6669 Ir
0.2500 0.7500 0.1636 Ir
0.7500 0.2500 0.8364 Ir
0.7500 0.5015 0.3331 Ir
0.7500 0.9985 0.3331 Ir
```



no.,calculated total energy (eV/atom)
1,-3.946
2,-4.396
3,-4.508
4,-3.925
5,-3.879
6,-7.871
7,-3.416
8,-9.396